VASP calculation (PBE-GGA) on crystalline La2YSi at its relaxed geometry.

Unit cell a=5.3627 b=5.3627 c=5.3627 alpha=60.00 beta=60.00 gamma=60.00
Closest atoms and distances in Å follow each position.
Fractional positions:
La 0.0000 0.0000 0.0000  4 La 3.28, 4 Y 3.28
La 0.2500 0.2500 0.2500  4 La 3.28, 4 Si 3.28
Y 0.7500 0.7500 0.7500  4 La 3.28, 4 Si 3.28
Si 0.5000 0.5000 0.5000  4 La 3.28, 4 Y 3.28

## Properties
**Formation energy (no corrections)**: -37 meV per atom